The following is a GGA-PBE calculation of a relaxed LiAcTl4O8 crystal, from Alexandria via LeMat-Bulk.

POSCAR file:
```
LiAcTl4O8
1.0
-2.065 -3.614 5.564
-0.435 -6.928 -0.322
4.339 -3.916 3.406
O Tl Li Ac
8 4 1 1
Direct
0.801 0.231 0.737
0.749 0.224 0.279
0.224 0.749 0.279
0.749 0.749 0.279
0.231 0.801 0.737
0.242 0.242 0.274
0.231 0.231 0.737
0.754 0.754 0.737
0.002 0.496 0.500
0.002 0.002 0.500
0.618 0.618 0.145
0.496 0.002 0.500
0.014 0.014 0.958
0.387 0.387 0.839
```

Values from the calculation:
**ρ**: 8.60 g/cm3
**ΔE_f (raw)**: -1227 meV/atom